Li2TiPd (PBEsol, optimized geometry); ΔE_f = 0.2424 eV/atom; symmetry = I-42d (122); spin magnetization = 4.12 Bohr magnetons per cell
1.0
-2.773 -2.580 3.355
-3.875 -3.457 -2.045
1.949 -4.980 1.596
Li Pd Ti
4 2 2
Cartesian
0.652 -2.978 1.110
-4.658 -7.395 0.957
-1.193 -7.634 1.729
-4.200 -4.029 2.016
-3.043 -6.154 2.292
0.000 0.000 0.000
-1.656 -4.864 0.614
-1.387 -1.290 1.678

LiTi3Pd (PBEsol, optimized geometry); ΔE_f = 0.6854 eV/atom; symmetry = Pm-3m (221); spin magnetization = 1.93 Bohr magnetons per cell
1.0
4.782 0.000 0.000
0.000 4.782 0.000
0.000 0.000 4.782
Li Pd Ti
1 1 3
Cartesian
2.391 2.391 2.391
0.000 0.000 0.000
0.000 2.391 0.000
0.000 0.000 2.391
2.391 0.000 0.000

LiTiTl2Pd (PBEsol, optimized geometry); ΔE_f = 0.3562 eV/atom; symmetry = P4/mmm (123); spin magnetization = 1.62 Bohr magnetons per cell
1.0
-2.491 -3.831 -1.586
2.929 -0.126 -4.297
3.362 -3.173 2.385
Tl Li Pd Ti
2 1 1 1
Cartesian
1.681 -1.587 1.192
1.464 -0.063 -2.149
1.900 -3.565 -1.749
0.000 0.000 0.000
-1.246 -1.916 -0.793

LiTlPd3 (PBEsol, optimized geometry); ΔE_f = 0.0950 eV/atom; symmetry = Pm-3m (221); spin magnetization = 0.00 Bohr magnetons per cell
1.0
4.273 0.000 0.000
0.000 4.273 0.000
0.000 0.000 4.273
Tl Pd Li
1 3 1
Cartesian
2.136 2.136 2.136
0.000 2.136 0.000
0.000 0.000 2.136
2.136 0.000 0.000
0.000 0.000 0.000

Li2TlPd (PBEsol, optimized geometry); ΔE_f = -0.3535 eV/atom; symmetry = Fm-3m (225); spin magnetization = 0.00 Bohr magnetons per cell
1.0
-3.777 1.308 1.870
-3.647 0.413 -2.449
-3.324 -2.860 0.493
Tl Pd Li
1 1 2
Cartesian
-5.374 -0.569 -0.043
0.000 0.000 0.000
-2.687 -0.285 -0.022
-8.061 -0.854 -0.065

LiTl2Pd (PBEsol, optimized geometry); ΔE_f = -0.2745 eV/atom; symmetry = Fm-3m (225); spin magnetization = 0.00 Bohr magnetons per cell
1.0
4.741 0.000 0.000
2.371 4.106 0.000
2.371 1.369 3.871
Tl Pd Li
2 1 1
Cartesian
2.371 1.369 0.968
7.112 4.106 2.903
4.741 2.737 1.936
0.000 0.000 0.000

LiTmPd2 (PBEsol, optimized geometry); ΔE_f = -0.6944 eV/atom; symmetry = Fm-3m (225); spin magnetization = 0.00 Bohr magnetons per cell
1.0
-2.327 3.930 -0.192
-2.103 1.596 3.732
1.612 3.716 2.119
Tm Pd Li
1 2 1
Cartesian
-1.409 4.621 2.830
-2.113 6.932 4.245
-0.704 2.311 1.415
0.000 0.000 0.000

LiYPd3 (PBEsol, optimized geometry); ΔE_f = -0.4623 eV/atom; symmetry = Pm-3m (221); spin magnetization = 0.00 Bohr magnetons per cell
1.0
-3.796 -1.904 0.751
1.066 -0.487 4.150
-1.748 3.839 0.899
Y Pd Li
1 3 1
Cartesian
-2.239 0.724 2.900
0.533 -0.243 2.075
-0.874 1.919 0.449
-1.898 -0.952 0.376
0.000 0.000 0.000

Li3YPd (PBEsol, optimized geometry); ΔE_f = 0.0802 eV/atom; symmetry = Pm-3m (221); spin magnetization = 0.00 Bohr magnetons per cell
1.0
-2.829 3.652 0.273
-2.653 -2.282 3.028
2.524 1.694 3.489
Y Pd Li
1 1 3
Cartesian
-1.479 1.532 3.395
0.000 0.000 0.000
-1.327 -1.141 1.514
1.262 0.847 1.744
-1.415 1.826 0.137

Li2YPd2 (PBEsol, optimized geometry); ΔE_f = -0.4576 eV/atom; distance to the lowest polymorph of the same formula = 55 meV/atom; symmetry = P4/mbm (127); spin magnetization = 0.00 Bohr magnetons per cell
1.0
3.059 0.000 0.000
0.000 7.204 0.000
0.000 0.000 7.204
Y Pd Li
2 4 4
Cartesian
0.000 0.000 0.000
0.000 3.602 3.602
1.529 1.324 4.926
1.529 4.926 5.880
1.529 5.880 2.278
1.529 2.278 1.324
0.000 2.796 6.398
0.000 6.398 4.407
0.000 4.407 0.806
0.000 0.806 2.796

LiYPd2 (PBEsol, optimized geometry); ΔE_f = -0.6376 eV/atom; symmetry = Fm-3m (225); spin magnetization = 0.00 Bohr magnetons per cell
1.0
4.628 0.000 0.000
2.314 4.008 0.000
2.314 1.336 3.779
Y Pd Li
1 2 1
Cartesian
4.628 2.672 1.889
2.314 1.336 0.945
6.942 4.008 2.834
0.000 0.000 0.000

Li2YPd2 (PBEsol, optimized geometry); ΔE_f = -0.5122 eV/atom; distance to the lowest polymorph of the same formula = 0 meV/atom; symmetry = I4/mmm (139); spin magnetization = 0.00 Bohr magnetons per cell
1.0
3.684 0.000 0.000
0.000 3.684 0.000
-1.842 -1.842 6.476
Y Pd Li
1 2 2
Cartesian
0.000 0.000 0.000
0.000 0.000 5.122
1.842 1.842 1.353
0.000 1.842 3.238
1.842 0.000 3.238

LiZn3Pd (PBEsol, optimized geometry); ΔE_f = 0.0481 eV/atom; symmetry = Pm-3m (221); spin magnetization = 0.00 Bohr magnetons per cell
1.0
-0.353 -4.659 -0.830
4.275 -0.671 1.948
-2.029 -0.603 4.247
Zn Pd Li
3 1 1
Cartesian
2.138 -0.335 0.974
-1.015 -0.301 2.124
-0.177 -2.330 -0.415
0.000 0.000 0.000
0.947 -2.966 2.683

Li2ZnPd2 (PBEsol, optimized geometry); ΔE_f = -0.3338 eV/atom; symmetry = P4/mbm (127); spin magnetization = 0.00 Bohr magnetons per cell
1.0
-1.291 -2.681 -2.200
-0.665 -3.821 5.047
-5.928 2.157 0.851
Zn Pd Li
2 4 4
Cartesian
0.000 0.000 0.000
-3.297 -0.832 2.949
-5.308 0.487 2.522
-4.390 -1.879 4.867
-1.286 -2.151 3.376
-2.204 0.215 1.032
-4.661 -0.528 0.266
-6.068 -2.048 2.944
-3.224 -3.818 3.433
-1.817 -2.298 0.755

LiZn2Pd (PBEsol, optimized geometry); ΔE_f = -0.4505 eV/atom; symmetry = Fm-3m (225); spin magnetization = 0.00 Bohr magnetons per cell
1.0
4.246 0.000 0.000
2.123 3.677 0.000
2.123 1.226 3.467
Zn Pd Li
2 1 1
Cartesian
6.369 3.677 2.600
2.123 1.226 0.867
0.000 0.000 0.000
4.246 2.451 1.733

LiZr3Pd (PBEsol, optimized geometry); ΔE_f = 0.6968 eV/atom; symmetry = Pm-3m (221); spin magnetization = 0.00 Bohr magnetons per cell
1.0
-3.002 2.858 1.904
1.629 -1.042 4.132
3.024 3.399 -0.335
Zr Pd Li
3 1 1
Cartesian
0.814 -0.521 2.066
1.512 1.700 -0.168
-1.501 1.429 0.952
0.825 2.608 2.850
0.000 0.000 0.000

LiZr2Pd2 (PBEsol, optimized geometry); ΔE_f = -0.4490 eV/atom; symmetry = P4/mbm (127); spin magnetization = 0.00 Bohr magnetons per cell
1.0
3.218 0.000 0.000
0.000 7.606 0.000
0.000 0.000 7.606
Zr Pd Li
4 4 2
Cartesian
1.609 1.261 5.064
1.609 5.064 6.346
1.609 6.346 2.543
1.609 2.543 1.261
0.000 2.794 6.598
0.000 6.598 4.812
0.000 4.812 1.009
0.000 1.009 2.794
0.000 0.000 0.000
0.000 3.803 3.803

LiPm2Ru (PBEsol, optimized geometry); ΔE_f = -0.1266 eV/atom; symmetry = Fm-3m (225); spin magnetization = 0.00 Bohr magnetons per cell
1.0
-3.677 2.371 2.325
-4.593 -1.856 -0.092
-1.977 -1.925 4.115
Ru Pm Li
1 2 1
Cartesian
-5.123 -0.705 3.174
-7.685 -1.058 4.761
-2.562 -0.353 1.587
0.000 0.000 0.000

Li2PmSi (PBEsol, optimized geometry); symmetry = Fm-3m (225); spin magnetization = 0.00 Bohr magnetons per cell; uncorrected formation energy = -0.33 eV per atom
1.0
4.564 0.000 0.000
2.282 3.953 0.000
2.282 1.318 3.727
Si Pm Li
1 1 2
Cartesian
0.000 0.000 0.000
4.564 2.635 1.863
2.282 1.318 0.932
6.846 3.953 2.795

LiPm2Si (PBEsol, optimized geometry); symmetry = Fm-3m (225); spin magnetization = 0.00 Bohr magnetons per cell; uncorrected formation energy = -0.38 eV per atom
1.0
5.045 0.000 0.000
2.522 4.369 0.000
2.522 1.456 4.119
Si Pm Li
1 2 1
Cartesian
0.000 0.000 0.000
2.522 1.456 1.030
7.567 4.369 3.089
5.045 2.913 2.060